w:
The following is a DFT calculation (SCAN) of a crystal of Tc2PbCl relaxed with PBEsol.

Output
* crystal system: monoclinic
* spin magnetization: 0.0001 μB/atom
* symmetry: C2/m

abc: 2.9554 4.3553 5.7186
angles: 101.21 90.00 109.83
Positions (direct):
Cl 0.5000 0.0000 0.0000
Pb 0.0000 0.0000 0.5000
Tc 0.7530 0.5060 0.8132
Tc 0.2470 0.4940 0.1868

---

x:
The following is a DFT calculation (SCAN) of a crystal of Tc2PbCl relaxed with PBEsol.

Output
* crystal system: cubic
* spin magnetization: 0.6323 μB/atom
* symmetry: F-43m

abc: 4.6088 4.6088 4.6088
angles: 60.00 60.00 60.00
Each line ends with the local moment (μB).
Positions (direct):
Cl 0.5000 0.5000 0.5000  0.11
Tc 0.7500 0.7500 0.7500  0.71
Tc 0.0000 0.0000 0.0000  1.53
Pb 0.2500 0.2500 0.2500  0.02

---

According to the calculations, the structures order from most to least stable as w, x.

---

w:
The following is a DFT calculation (SCAN) of a crystal of TePbCl2 relaxed with PBEsol.

Output
* crystal system: tetragonal
* spin magnetization: 0.0000 μB/atom
* symmetry: P4/mmm

abc: 3.3765 3.3765 10.4199
angles: 90.00 90.00 90.00
Positions (direct):
Cl 0.0000 0.0000 0.8351
Cl 0.0000 0.0000 0.1649
Pb 0.5000 0.5000 0.0000
Te 0.5000 0.5000 0.5000

---

x:
The following is a DFT calculation (SCAN) of a crystal of TePbCl2 relaxed with PBEsol.

Output
* crystal system: trigonal
* spin magnetization: 0.0000 μB/atom
* symmetry: R3m

abc: 3.6226 3.6226 9.6946
angles: 79.23 79.23 60.00
Positions (direct):
Cl 0.9921 0.9921 0.0238
Cl 0.7611 0.7611 0.7167
Te 0.2520 0.2520 0.2440
Pb 0.4948 0.4948 0.5155

---

y:
The following is a DFT calculation (SCAN) of a crystal of TePbCl2 relaxed with PBEsol.

Output
* crystal system: orthorhombic
* spin magnetization: 0.0000 μB/atom
* symmetry: Immm

abc: 3.4935 5.9228 5.9228
angles: 61.03 72.85 72.85
Positions (direct):
Cl 0.7611 0.2389 0.2389
Cl 0.2389 0.7611 0.7611
Te 0.0000 0.5000 0.5000
Pb 0.5000 0.0000 0.0000

---

According to the calculations, the structures order from most to least stable as w, y, x.

---

w:
The following is a DFT calculation (SCAN) of a crystal of TePb2Cl relaxed with PBEsol.

Output
* crystal system: monoclinic
* spin magnetization: 0.0000 μB/atom
* symmetry: C2/m

abc: 4.1117 4.9300 6.6693
angles: 104.59 90.00 114.65
Positions (direct):
Pb 0.7493 0.4987 0.7605
Pb 0.2507 0.5013 0.2395
Te 0.0000 0.0000 0.5000
Cl 0.5000 0.0000 0.0000

---

x:
The following is a DFT calculation (SCAN) of a crystal of TePb2Cl relaxed with PBEsol.

Output
* crystal system: trigonal
* spin magnetization: 0.0000 μB/atom
* symmetry: R3m

abc: 3.9309 3.9309 9.7042
angles: 78.31 78.31 60.00
Positions (direct):
Pb 0.9913 0.9913 0.0261
Pb 0.7586 0.7586 0.7242
Te 0.4912 0.4912 0.5264
Cl 0.2589 0.2589 0.2232

---

According to the calculations, the structures order from most to least stable as w, x.

---

w:
The following is a DFT calculation (SCAN) of a crystal of TlPb2Cl relaxed with PBEsol.

Output
* crystal system: orthorhombic
* spin magnetization: 0.0000 μB/atom
* symmetry: Cmmm

abc: 3.4232 5.6316 5.6316
angles: 90.27 90.00 90.00
Positions (direct):
Tl 0.5000 0.0000 0.0000
Cl 0.5000 0.5000 0.5000
Pb 0.0000 0.5000 0.0000
Pb 0.0000 0.0000 0.5000

---

x:
The following is a DFT calculation (SCAN) of a crystal of TlPb2Cl relaxed with PBEsol.

Output
* crystal system: tetragonal
* spin magnetization: 0.0000 μB/atom
* symmetry: P4/mmm

abc: 4.5072 4.5072 5.5486
angles: 90.00 90.00 90.00
Positions (direct):
Tl 0.5000 0.5000 0.5000
Cl 0.0000 0.0000 0.5000
Pb 0.0000 0.5000 0.0000
Pb 0.5000 0.0000 0.0000

---

According to the calculations, the structures order from most to least stable as w, x.

---

w:
The following is a DFT calculation (SCAN) of a crystal of PbWCl relaxed with PBEsol.

Output
* crystal system: orthorhombic
* spin magnetization: 0.2146 μB/atom
* symmetry: Fmm2

abc: 3.0299 3.1094 8.0177
angles: 84.72 79.11 60.84
Each line ends with the local moment (μB).
Positions (direct):
W 0.6513 0.0000 0.6975  0.49
Cl 0.0330 0.0000 0.9341  0.02
Pb 0.3158 0.0000 0.3684  -0.01

---

x:
The following is a DFT calculation (SCAN) of a crystal of PbWCl relaxed with PBEsol.

Output
* crystal system: cubic
* spin magnetization: 0.5590 μB/atom
* symmetry: F-43m

abc: 4.5306 4.5306 4.5306
angles: 60.00 60.00 60.00
Each line ends with the local moment (μB).
Positions (direct):
Cl 0.7500 0.7500 0.7500  -0.05
Pb 0.0000 0.0000 0.0000  -0.05
W 0.5000 0.5000 0.5000  1.42

---

According to the calculations, the structures order from most to least stable as w, x.

---

w:
The following is a DFT calculation (SCAN) of a crystal of Zn2PbCl relaxed with PBEsol.

Output
* crystal system: cubic
* spin magnetization: 0.0000 μB/atom
* symmetry: Fm-3m

abc: 4.9464 4.9464 4.9464
angles: 60.00 60.00 60.00
Positions (direct):
Cl 0.0000 0.0000 0.0000
Zn 0.7500 0.7500 0.7500
Zn 0.2500 0.2500 0.2500
Pb 0.5000 0.5000 0.5000

---

x:
The following is a DFT calculation (SCAN) of a crystal of Zn2PbCl relaxed with PBEsol.

Output
* crystal system: monoclinic
* spin magnetization: 0.0000 μB/atom
* symmetry: P2/m

abc: 3.2818 5.6859 4.7039
angles: 90.00 92.70 90.00
Positions (direct):
Zn 0.2217 0.0000 0.2546
Zn 0.7783 0.0000 0.7454
Cl 0.5000 0.5000 0.0000
Pb 0.0000 0.5000 0.5000

---

y:
The following is a DFT calculation (SCAN) of a crystal of Zn2PbCl relaxed with PBEsol.

Output
* crystal system: orthorhombic
* spin magnetization: 0.0000 μB/atom
* symmetry: Immm

abc: 3.3554 4.8460 6.0673
angles: 113.54 106.05 90.00
Positions (direct):
Cl 0.5000 0.0000 0.0000
Pb 0.0000 0.5000 0.0000
Zn 0.7440 0.7440 0.4879
Zn 0.2560 0.2560 0.5121

---

According to the calculations, the structures order from most to least stable as x, y, w.